The following is a DFT calculation (PBE) of a relaxed MgPHO2 crystal.

Computed properties:
The space group is P4/mmm. The value obtained for the energy above the most stable polymorph in this dataset is 619.1 meV/atom.

Lattice parameters (Å, degrees): 3.7527 3.7527 5.6968 90.00 90.00 90.00
Last column: nearest neighbours and their distance in Å.
Fractional coordinates of all 5 atoms:
Mg (0.0000, 0.0000, 0.0000)  4 O 1.88
P (0.0000, 0.0000, 0.5000)  4 H 2.65, 2 Mg 2.85
H (0.5000, 0.5000, 0.5000)  4 P 2.65
O (0.0000, 0.5000, 0.0000)  2 Mg 1.88
O (0.5000, 0.0000, 0.0000)  2 Mg 1.88

=====

The following is a DFT calculation (PBE) of a relaxed MgP2H16O10 crystal.

Computed properties:
The space group is P4_2/nmc. The calculation puts the raw total energy at -0.190 Ha/atom.

Lattice parameters (Å, degrees): 7.2715 7.2715 10.5286 90.00 90.00 90.00
Last column: nearest neighbours and their distance in Å.
Fractional coordinates of all 58 atoms:
Mg (0.2500, 0.7500, 0.2500)  6 O 2.08-2.09
Mg (0.7500, 0.2500, 0.7500)  6 O 2.08-2.09
P (0.2500, 0.2500, 0.0124)  2 H 1.41, 2 O 1.54
P (0.2500, 0.2500, 0.5124)  2 H 1.41, 2 O 1.54
P (0.7500, 0.7500, 0.4876)  2 H 1.41, 2 O 1.54
P (0.7500, 0.7500, 0.9876)  2 H 1.41, 2 O 1.54
H (0.0461, 0.0636, 0.1943)  1 O 0.99
H (0.0461, 0.4364, 0.1943)  1 O 0.99
H (0.0636, 0.0461, 0.6943)  1 O 0.99
H (0.0636, 0.4539, 0.6943)  1 O 0.99
H (0.0964, 0.2500, 0.4302)  1 P 1.41
H (0.1384, 0.7500, 0.9979)  1 O 0.99
H (0.2500, 0.0964, 0.9302)  1 P 1.41
H (0.2500, 0.4036, 0.9302)  1 P 1.41
H (0.2500, 0.6384, 0.5021)  1 O 0.99
H (0.2500, 0.8616, 0.5021)  1 O 0.99
H (0.3616, 0.7500, 0.9979)  1 O 0.99
H (0.4036, 0.2500, 0.4302)  1 P 1.41
H (0.4364, 0.0461, 0.6943)  1 O 0.99
H (0.4364, 0.4539, 0.6943)  1 O 0.99
H (0.4539, 0.0636, 0.1943)  1 O 0.99
H (0.4539, 0.4364, 0.1943)  1 O 0.99
H (0.5461, 0.5636, 0.8057)  1 O 0.99
H (0.5461, 0.9364, 0.8057)  1 O 0.99
H (0.5636, 0.5461, 0.3057)  1 O 0.99
H (0.5636, 0.9539, 0.3057)  1 O 0.99
H (0.5964, 0.7500, 0.5698)  1 P 1.41
H (0.6384, 0.2500, 0.0021)  1 O 0.99
H (0.7500, 0.1384, 0.4979)  1 O 0.99
H (0.7500, 0.3616, 0.4979)  1 O 0.99
H (0.7500, 0.5964, 0.0698)  1 P 1.41
H (0.7500, 0.9036, 0.0698)  1 P 1.41
H (0.8616, 0.2500, 0.0021)  1 O 0.99
H (0.9036, 0.7500, 0.5698)  1 P 1.41
H (0.9364, 0.5461, 0.3057)  1 O 0.99
H (0.9364, 0.9539, 0.3057)  1 O 0.99
H (0.9539, 0.5636, 0.8057)  1 O 0.99
H (0.9539, 0.9364, 0.8057)  1 O 0.99
O (0.0465, 0.5465, 0.2500)  2 H 0.99
O (0.0465, 0.9535, 0.2500)  2 H 0.99
O (0.0706, 0.2500, 0.0896)  1 P 1.54
O (0.2500, 0.0706, 0.5896)  1 P 1.54
O (0.2500, 0.4294, 0.5896)  1 P 1.54
O (0.2500, 0.7500, 0.0520)  2 H 0.99
O (0.2500, 0.7500, 0.4480)  2 H 0.99
O (0.4294, 0.2500, 0.0896)  1 P 1.54
O (0.4535, 0.5465, 0.2500)  2 H 0.99
O (0.4535, 0.9535, 0.2500)  2 H 0.99
O (0.5465, 0.0465, 0.7500)  2 H 0.99
O (0.5465, 0.4535, 0.7500)  2 H 0.99
O (0.5706, 0.7500, 0.9104)  1 P 1.54
O (0.7500, 0.2500, 0.5520)  2 H 0.99
O (0.7500, 0.2500, 0.9480)  2 H 0.99
O (0.7500, 0.5706, 0.4104)  1 P 1.54
O (0.7500, 0.9294, 0.4104)  1 P 1.54
O (0.9294, 0.7500, 0.9104)  1 P 1.54
O (0.9535, 0.0465, 0.7500)  2 H 0.99
O (0.9535, 0.4535, 0.7500)  2 H 0.99

=====

The following is a DFT calculation (PBE) of a relaxed MgPHO9 crystal.

Computed properties:
The space group is R3. The value obtained for the energy above the most stable polymorph in this dataset is 237.2 meV/atom.

Lattice parameters (Å, degrees): 5.3424 5.3424 5.3424 92.86 92.86 92.86
Last column: nearest neighbours and their distance in Å.
Fractional coordinates of all 12 atoms:
Mg (0.0000, 0.0000, 0.0000)  1 H 1.99, 3 O 2.22
P (0.6041, 0.6041, 0.6041)  1 H 1.48, 3 O 1.52
H (0.7728, 0.7728, 0.7728)  1 P 1.48
O (0.0087, 0.4098, 0.0958)  1 O 1.25
O (0.0742, 0.1432, 0.6058)  1 O 1.25
O (0.0958, 0.0087, 0.4098)  1 O 1.25
O (0.1432, 0.6058, 0.0742)  1 O 1.25
O (0.3419, 0.6819, 0.6629)  1 P 1.52
O (0.4098, 0.0958, 0.0087)  1 O 1.25
O (0.6058, 0.0742, 0.1432)  1 O 1.25
O (0.6629, 0.3419, 0.6819)  1 P 1.52
O (0.6819, 0.6629, 0.3419)  1 P 1.52